Record 1
Computed, not measured: a geometry-optimized BiBAs2Se structure at the GGA-PBEsol level of DFT.

Cell: 5.374 5.374 5.448 Å, 90.00 90.00 90.00°
Site moments in Bohr magnetons follow the coordinates.
Positions (direct):
Se: 0.000 0.000 0.500  0.07
As: 0.500 0.000 0.000  0.17
As: 0.000 0.500 0.000  0.17
B: 0.500 0.500 0.500  -0.02
Bi: 0.000 0.000 0.000  0.00

Results
The calculation puts the mass density at 4.73 Mg/m³. The total magnetization comes out at 0.80 μB per cell. For the raw formation energy, the calculation gives 1901.1 meV/atom.

---

Record 2
Computed, not measured: a geometry-optimized BiBAsSe2 structure at the GGA-PBEsol level of DFT.

Cell: 5.360 5.455 5.455 Å, 90.00 90.00 90.00°
Site moments in Bohr magnetons follow the coordinates.
Positions (direct):
Se: 0.000 0.500 0.000  0.10
Se: 0.000 0.000 0.500  0.10
As: 0.500 0.000 0.000  0.37
Bi: 0.000 0.000 0.000  0.00
B: 0.500 0.500 0.500  -0.01

Results
The calculation puts the mass density at 4.71 Mg/m³. The total magnetization comes out at 1.10 μB per cell. For the raw formation energy, the calculation gives 1686.8 meV/atom.

---

Record 3
Computed, not measured: a geometry-optimized BAsBr2 structure at the GGA-PBEsol level of DFT.

Cell: 3.292 3.292 9.619 Å, 80.15 80.15 60.00°
Positions (direct):
Br: 0.064 0.064 0.808
Br: 0.936 0.936 0.192
B: 0.000 0.000 0.000
As: 0.500 0.500 0.500

Results
The calculation puts the mass density at 4.61 Mg/m³. The total magnetization comes out at 0.00 μB per cell. For the raw formation energy, the calculation gives 760.8 meV/atom.

---

Record 4
Computed, not measured: a geometry-optimized BAs2BrCl structure at the GGA-PBEsol level of DFT.

Cell: 4.479 4.479 4.559 Å, 90.00 90.00 90.00°
Positions (direct):
As: 0.000 0.500 0.000
As: 0.500 0.000 0.000
Br: 0.000 0.000 0.500
Cl: 0.500 0.500 0.500
B: 0.000 0.000 0.000

Results
The calculation puts the mass density at 5.01 Mg/m³. The total magnetization comes out at 0.00 μB per cell. For the raw formation energy, the calculation gives 696.1 meV/atom.